1.
Density functional theory data (SCAN) for a crystal of BeAgIrO2 relaxed with PBEsol.

For the density of states at the Fermi level, the calculation gives 2.19 states/eV per cell. The value obtained for the total magnetization is 0.00 μB/cell. The calculation puts the formation energy from raw total energies at 0.11 eV per atom. The volume comes out at 77 Å³/cell. The total energy is -118.751 eV/cell.

a b c (Å): 3.6593 3.6593 5.7777
angles (deg): 90.00 90.00 90.00
With the nearest neighbours (Å) after each atom.
Space group P4/mmm (No. 123)
Symmetry-distinct sites (fractional):
Be (0.0000, 0.0000, 0.0000) [1 per cell]  4 Ag 2.59
Ag (0.5000, 0.5000, 0.0000) [1 per cell]  4 Be 2.59, 2 Ir 2.89
Ir (0.5000, 0.5000, 0.5000) [1 per cell]  4 O 1.83
O (0.0000, 0.5000, 0.5000) [2 per cell]  2 Ir 1.83

---

2.
Density functional theory data (SCAN) for a crystal of KBeAg relaxed with PBEsol.

The formation energy from the elements is 399 meV per atom. For the density of states at the Fermi level, the calculation gives 0.94 states/eV per cell. The value obtained for the total magnetization is 0.01 μB/cell. The volume comes out at 75 Å³/cell. The total energy is -42.854 eV/cell. The value obtained for the relative energy among the computed polymorphs is 0.095 eV per atom.

a b c (Å): 4.0002 4.0002 5.3832
angles (deg): 90.00 90.00 120.00
With the nearest neighbours (Å) after each atom.
Space group P-6m2 (No. 187)
Symmetry-distinct sites (fractional):
K (0.0000, 0.0000, 0.0000) [1 per cell]  6 Be 3.55, 6 Ag 3.55
Be (0.3333, 0.6667, 0.5000) [1 per cell]  3 Ag 2.31
Ag (0.6667, 0.3333, 0.5000) [1 per cell]  3 Be 2.31

---

3.
Density functional theory data (SCAN) for a crystal of KBeAg relaxed with PBEsol.

The formation energy from the elements is 863 meV per atom. For the density of states at the Fermi level, the calculation gives 6.58 states/eV per cell. The value obtained for the total magnetization is 0.00 μB/cell. The volume comes out at 300 Å³/cell. The total energy is -165.837 eV/cell. The value obtained for the relative energy among the computed polymorphs is 0.559 eV per atom.

a b c (Å): 6.6961 6.6961 6.6961
angles (deg): 90.00 90.00 90.00
With the nearest neighbours (Å) after each atom.
Space group F-43m (No. 216)
Symmetry-distinct sites (fractional):
K (0.0000, 0.0000, 0.0000) [4 per cell]  4 Be 2.90
Be (0.2500, 0.2500, 0.7500) [4 per cell]  4 K 2.90, 4 Ag 2.90
Ag (0.0000, 0.0000, 0.5000) [4 per cell]  4 Be 2.90

---

4.
Density functional theory data (SCAN) for a crystal of KBeAg relaxed with PBEsol.

The formation energy from the elements is 304 meV per atom. For the density of states at the Fermi level, the calculation gives 1.56 states/eV per cell. The value obtained for the total magnetization is 0.00 μB/cell. The volume comes out at 133 Å³/cell. The total energy is -86.275 eV/cell. The value obtained for the relative energy among the computed polymorphs is 0.000 eV per atom.

a b c (Å): 3.3346 3.3346 11.9244
angles (deg): 90.00 90.00 90.00
With the nearest neighbours (Å) after each atom.
Space group I4mm (No. 107)
Symmetry-distinct sites (fractional):
K (0.0000, 0.0000, 0.0000) [2 per cell]  1 Be 3.09, 1 Ag 3.18, 4 K 3.33
Be (0.0000, 0.0000, 0.2590) [2 per cell]  4 Ag 2.38
Ag (0.0000, 0.0000, 0.7334) [2 per cell]  4 Be 2.38

---

5.
Density functional theory data (SCAN) for a crystal of LaBeAg relaxed with PBEsol.

The formation energy from the elements is 677 meV per atom. For the density of states at the Fermi level, the calculation gives 10.43 states/eV per cell. The value obtained for the total magnetization is 0.00 μB/cell. The volume comes out at 319 Å³/cell. The total energy is -307.182 eV/cell.

a b c (Å): 6.8360 6.8360 6.8360
angles (deg): 90.00 90.00 90.00
With the nearest neighbours (Å) after each atom.
Space group F-43m (No. 216)
Symmetry-distinct sites (fractional):
La (0.0000, 0.0000, 0.0000) [4 per cell]  4 Be 2.96, 4 Ag 2.96
Be (0.2500, 0.2500, 0.2500) [4 per cell]  4 La 2.96
Ag (0.2500, 0.2500, 0.7500) [4 per cell]  4 La 2.96

---

6.
Density functional theory data (SCAN) for a crystal of LaBe2Ag relaxed with PBEsol.

The formation energy from the elements is 88 meV per atom. For the density of states at the Fermi level, the calculation gives 4.45 states/eV per cell. The value obtained for the total magnetization is 0.00 μB/cell. The volume comes out at 140 Å³/cell. The total energy is -165.653 eV/cell.

a b c (Å): 3.7346 3.2772 11.4261
angles (deg): 90.00 90.00 90.00
With the nearest neighbours (Å) after each atom.
Space group Amm2 (No. 38)
Symmetry-distinct sites (fractional):
La (0.0000, 0.0000, 0.0000) [2 per cell]  7 Be 2.94-3.09, 2 La 3.28
Be (0.0000, 0.0000, 0.7292) [2 per cell]  2 Be 2.14
Be (0.5000, 0.0000, 0.6371) [2 per cell]  2 Be 2.14, 2 Ag 2.35
Ag (0.5000, 0.0000, 0.2840) [2 per cell]  6 Be 2.35-2.56

---

Q: Which of these has the lowest volume?
A: number 2

---

Q: Which of these has the highest total magnetization?
A: number 2